## PuBiRh2 (GGA-PBE)

Data for an optimized crystal structure of PuBiRh2.

Computed properties:
* calculated formation energy: -0.25 eV per atom
* final energy: -8.482 eV/atom
* volume: 80.4 Å³/f.u.

Cell: 4.736 4.736 3.583 Å, 90.00 90.00 90.00°
Positions (direct):
1 Pu 0.000 0.000 0.000
2 Bi 0.500 0.500 0.000
3 Rh 0.000 0.500 0.500
4 Rh 0.500 0.000 0.500